# 1
Below is an optimized crystal structure of Gd3ScS6, with properties calculated at the PBE level.

Output
SG ... Pnnm
Formation energy without anion corrections ... -2.046 eV per atom
Final energy ... -375.18 eV/cell

Cell lengths 13.629, 16.418, 3.851 Å; angles 90.00, 90.00, 90.00 degrees
Fractional positions:
Gd  0.046  0.220  0.000
Gd  0.183  0.649  0.000
Gd  0.249  0.898  0.500
Gd  0.251  0.398  0.000
Gd  0.317  0.149  0.500
Gd  0.454  0.720  0.500
Gd  0.546  0.280  0.500
Gd  0.683  0.851  0.500
Gd  0.749  0.602  0.000
Gd  0.751  0.102  0.500
Gd  0.817  0.351  0.000
Gd  0.954  0.780  0.000
Sc  0.000  0.000  0.500
Sc  0.000  0.500  0.500
Sc  0.500  0.000  0.000
Sc  0.500  0.500  0.000
S  0.021  0.396  0.000
S  0.092  0.922  0.000
S  0.106  0.752  0.500
S  0.121  0.112  0.500
S  0.186  0.290  0.500
S  0.187  0.522  0.500
S  0.313  0.022  0.000
S  0.314  0.790  0.000
S  0.379  0.612  0.000
S  0.394  0.252  0.000
S  0.408  0.422  0.500
S  0.479  0.896  0.500
S  0.521  0.104  0.500
S  0.592  0.578  0.500
S  0.606  0.748  0.000
S  0.621  0.388  0.000
S  0.686  0.210  0.000
S  0.687  0.978  0.000
S  0.813  0.478  0.500
S  0.814  0.710  0.500
S  0.879  0.888  0.500
S  0.894  0.248  0.500
S  0.908  0.078  0.000
S  0.979  0.604  0.000

---

# 2
Below is an optimized crystal structure of Gd2ScS, with properties calculated at the PBE level.

Output
SG ... R-3m
Formation energy without anion corrections ... -0.652 eV per atom
Final energy ... -41.23 eV/cell

Cell lengths 9.930, 9.930, 9.930 Å; angles 21.16, 21.16, 21.16 degrees
Fractional positions:
Gd  0.108  0.108  0.108
Gd  0.892  0.892  0.892
Sc  0.000  0.000  0.000
S  0.500  0.500  0.500

---

# 3
Below is an optimized crystal structure of GdSc2S, with properties calculated at the PBE level.

Output
SG ... R-3m
Formation energy without anion corrections ... -0.737 eV per atom
Final energy ... -33.82 eV/cell

Cell lengths 9.581, 9.581, 9.581 Å; angles 21.00, 21.00, 21.00 degrees
Fractional positions:
Gd  0.000  0.000  0.000
Sc  0.113  0.113  0.113
Sc  0.887  0.887  0.887
S  0.500  0.500  0.500

---

# 4
Below is an optimized crystal structure of Gd2SeS, with properties calculated at the PBE level.

Output
SG ... R-3m
Formation energy without anion corrections ... -1.960 eV per atom
Final energy ... -43.61 eV/cell

Cell lengths 7.063, 7.063, 7.063 Å; angles 33.17, 33.17, 33.17 degrees
Fractional positions:
Gd  0.243  0.243  0.243
Gd  0.757  0.757  0.757
Se  0.000  0.000  0.000
S  0.500  0.500  0.500